Entry 1:
KSiS3: relaxed, GGA-PBE.

Structure (POSCAR):
```
KSiS3
1.0
-8.126 2.697 3.517
-0.314 -6.291 -6.783
1.824 -6.023 6.640
S Si K
12 4 4
Cartesian
-4.077 -5.324 -3.377
0.047 -9.620 -1.844
-6.366 -4.653 4.163
-6.664 0.004 5.217
-6.714 -1.745 -1.043
0.097 -7.872 4.416
-2.455 -2.973 3.260
-2.540 -4.293 6.750
-7.535 1.065 3.630
0.918 -10.682 -0.257
-4.161 -6.644 0.114
-0.251 -4.964 -0.789
-1.770 -3.607 5.036
-0.584 -3.009 -1.049
-4.847 -6.010 -1.663
-6.033 -6.608 4.422
-5.574 -3.183 6.935
-5.180 -1.674 1.894
-1.436 -7.943 1.480
-1.042 -6.434 -3.561
```

Results
**Raw formation energy**: -667 meV/atom
**Space-group type**: C2/c (15)
**E**: -0.1635 hartree per atom


Entry 2:
CsAg4Sb4: relaxed, GGA-PBE.

Structure (POSCAR):
```
CsAg4Sb4
1.0
5.737 0.000 0.000
0.000 9.585 0.000
0.000 0.000 9.585
Sb Ag Cs
8 8 2
Cartesian
3.515 1.409 6.153
2.222 3.432 1.409
0.647 1.360 3.383
0.647 8.224 6.201
5.090 6.201 1.360
3.515 8.176 3.432
2.222 6.153 8.176
5.090 3.383 8.224
2.250 6.627 1.352
3.487 1.352 2.957
0.618 7.750 3.441
0.618 1.835 6.144
5.119 6.144 7.750
5.119 3.441 1.835
3.487 8.233 6.627
2.250 2.957 8.233
2.869 4.792 4.792
0.000 0.000 0.000
```

Results
**Raw formation energy**: -2 meV/atom
**Space-group type**: P4_2/n (86)
**E**: -0.1174 hartree per atom


Entry 3:
SmTiSe2: relaxed, GGA-PBE.

Structure (POSCAR):
```
SmTiSe2
1.0
3.681 0.000 0.000
1.841 3.188 0.000
1.841 1.063 8.806
Se Ti Sm
2 1 1
Cartesian
5.522 3.188 2.890
1.841 1.063 5.916
3.681 2.125 4.403
0.000 0.000 0.000
```

Results
**Raw formation energy**: -932 meV/atom
**Space-group type**: R-3m (166)
**E**: -0.2142 hartree per atom